16
Lattice="-3.144 -2.822 4.167 7.172 -1.648 0.070 2.470 11.145 9.411" Properties=species:S:1:pos:R:3 comment="Ac5Ni2Pt, optimized geometry, DFT GGA-PBE" volume_a3_per_cell=591.3 formation_energy_ev_per_atom=-0.352 pbc="T T T"
Ac 5.608 5.693 12.312
Ac 4.954 2.738 9.818
Ac 4.877 2.803 5.578
Ac 3.950 -1.379 2.047
Ac 1.921 -0.196 5.542
Ac 4.576 6.871 8.106
Ac 1.621 3.871 8.070
Ac 2.547 8.053 11.601
Ac 0.889 0.982 1.336
Ac 1.544 3.936 3.830
Ni 3.421 1.412 7.763
Ni 2.461 -2.919 4.106
Ni 3.076 5.262 5.885
Ni 4.036 9.593 9.542
Pt 3.352 5.270 10.323
Pt 3.145 1.405 3.325